[1]
Here is Sm4InTe5 after structural relaxation from Alexandria. Energies are from GGA-PBE.

POSCAR file:
```
Sm4InTe5
1.0
2.2224 1.2831 19.0757
-2.2224 1.2831 19.0757
0.0000 -2.5662 19.0757
Sm In Te
4 1 5
Direct
0.0954 0.0954 0.0954
0.3012 0.3012 0.3012
0.6988 0.6988 0.6988
0.9046 0.9046 0.9046
0.5000 0.5000 0.5000
0.0000 0.0000 0.0000
0.2059 0.2059 0.2059
0.3970 0.3970 0.3970
0.6030 0.6030 0.6030
0.7941 0.7941 0.7941
```

Summary:
For the energy relative to the elements, uncorrected, the calculation gives -1226.0 meV/atom.



[2]
Here is Nd4HCCl2 after structural relaxation from Alexandria. Energies are from GGA-PBE.

POSCAR file:
```
Nd4HCCl2
1.0
6.4953 0.0000 0.0000
0.0000 3.7947 0.0000
-1.9738 0.0000 7.0935
Nd H C Cl
4 1 1 2
Direct
0.2299 0.0000 0.1892
0.2521 0.5000 0.7963
0.7479 0.5000 0.2037
0.7701 0.0000 0.8108
0.5000 0.0000 0.0000
0.0000 0.5000 0.0000
0.0000 0.0000 0.5000
0.5000 0.5000 0.5000
```

Summary:
The value obtained for the uncorrected energy is -42.70 eV per cell.



| no. | calculated density (Mg/m³) | total magnetization (μB per cell) |
| --- | --- | --- |
| 1 | 6.89 | 0.00 |
| 2 | 6.28 | 0.00 |